Below is crystalline Rb2NdThSe4 at its relaxed geometry, with properties calculated at the GGA-PBE level.

Cell and atoms, written as extended XYZ:
```
8
Lattice="7.4861 0.0000 0.0000 0.0000 4.3295 0.0000 -2.4915 0.0000 8.0871" Properties=species:S:1:pos:R:3 pbc="T T T"
Rb 0.0000 0.0000 0.0000
Rb 3.7430 2.1647 0.0000
Nd -1.2458 2.1647 4.0436
Th 2.4973 0.0000 4.0436
Se 0.0452 0.0000 5.6960
Se 1.2824 2.1647 2.3936
Se 3.7121 2.1647 5.6935
Se 4.9493 0.0000 2.3912
```

Calculated values
Total magnetization   0.0 μB per formula unit
E_form (uncorrected)   -1628 meV per atom
D(E_F)   4.3 states/eV per cell
Space group   P2/m (10)
Electronic total energy   -41.1 eV per formula unit